(1)
Compound: ZrSb2Pb
Source: Alexandria via LeMat-Bulk
Functional: PBE-GGA
Structure: optimized geometry

Lattice parameters (Å, degrees): 4.143 5.441 9.604 90.00 90.00 90.00
Space group Cmmm (No. 65)
Unique sites:
Zr 0.000 0.000 0.000
Sb 0.000 0.500 0.216
Pb 0.000 0.000 0.500

Properties
**Uncorrected energy**: -21.34 eV/f.u.
**Formation energy from raw total energies**: -0.2086 eV per atom

(2)
Compound: ZrSbPb2
Source: Alexandria via LeMat-Bulk
Functional: PBE-GGA
Structure: optimized geometry

Lattice parameters (Å, degrees): 7.578 7.578 7.578 90.00 90.00 90.00
Space group F-43m (No. 216)
Unique sites:
Zr 0.000 0.000 0.000
Sb 0.250 0.250 0.250
Pb 0.000 0.000 0.500
Pb 0.250 0.250 0.750

Properties
**Uncorrected energy**: -19.45 eV/f.u.
**Formation energy from raw total energies**: 0.1582 eV per atom

- The lowest formation energy from raw total energies belongs to which entry?
  ZrSb2Pb